Here is an optimized crystal structure of CdCuP from Alexandria. Energies are from PBE-GGA.

```
3
Lattice="3.268 0.000 0.000 -1.634 2.830 0.000 0.000 0.000 5.647" Properties=species:S:1:pos:R:3 pbc="T T T"
Cd 0.000 0.000 0.041
Cu 1.634 0.943 2.123
P 0.000 1.887 3.483
```

Values from the calculation:
V: 17.41 Å³/atom
Energy: -3.233 eV per atom
N(E_F): 1.5 states/eV/cell
Size of the total moment: 0.00 Bohr magnetons per cell
DFT formation energy: 23.3 kJ/mol of atoms